! ReNiHOs2, optimized geometry, DFT PBE; values from VASP
! - total magnetic moment (μB/f.u.) = 0.00
! - E_tot (eV/atom) = -8.520
&SYSTEM
  ibrav = 0, nat = 5, ntyp = 4
/
ATOMIC_SPECIES
Re 186.21 Re.upf
Os 190.23 Os.upf
H 1.01 H.upf
Ni 58.69 Ni.upf
ATOMIC_POSITIONS crystal
Re 0.500 0.500 0.500
Os 0.000 0.500 0.000
Os 0.500 0.000 0.000
H 0.000 0.000 0.000
Ni 0.000 0.000 0.500
CELL_PARAMETERS angstrom
3.905 0.000 0.000
0.000 3.905 0.000
0.000 0.000 3.759



! NiHOsRh2, optimized geometry, DFT PBE; values from VASP
! - total magnetic moment (μB/f.u.) = 1.02
! - offset from the most stable computed form (meV/atom) = 26
! - E_tot (eV/atom) = -6.786
&SYSTEM
  ibrav = 0, nat = 5, ntyp = 4
/
ATOMIC_SPECIES
Rh 102.91 Rh.upf
Os 190.23 Os.upf
H 1.01 H.upf
Ni 58.69 Ni.upf
ATOMIC_POSITIONS crystal
Rh 0.000 0.500 0.000
Rh 0.500 0.000 0.000
Os 0.000 0.000 0.500
H 0.000 0.000 0.000
Ni 0.500 0.500 0.500
CELL_PARAMETERS angstrom
-2.392 2.698 1.337
0.774 -1.098 3.603
2.924 2.522 0.141



! NiHOsRh2, optimized geometry, DFT PBE; values from VASP
! - total magnetic moment (μB/f.u.) = 0.00
! - offset from the most stable computed form (meV/atom) = 0
! - E_tot (eV/atom) = -6.812
&SYSTEM
  ibrav = 0, nat = 5, ntyp = 4
/
ATOMIC_SPECIES
Rh 102.91 Rh.upf
Os 190.23 Os.upf
H 1.01 H.upf
Ni 58.69 Ni.upf
ATOMIC_POSITIONS crystal
Rh 0.000 0.500 0.000
Rh 0.500 0.000 0.000
Os 0.500 0.500 0.500
H 0.000 0.000 0.000
Ni 0.000 0.000 0.500
CELL_PARAMETERS angstrom
3.851 0.000 0.000
0.000 3.851 0.000
0.000 0.000 3.809



! TaNi2HOs, optimized geometry, DFT PBE; values from VASP
! - total magnetic moment (μB/f.u.) = 0.00
! - offset from the most stable computed form (meV/atom) = 55
! - E_tot (eV/atom) = -7.729
&SYSTEM
  ibrav = 0, nat = 5, ntyp = 4
/
ATOMIC_SPECIES
Ni 58.69 Ni.upf
Os 190.23 Os.upf
H 1.01 H.upf
Ta 180.95 Ta.upf
ATOMIC_POSITIONS crystal
Ni 0.000 0.500 0.000
Ni 0.500 0.000 0.000
Os 0.500 0.500 0.500
H 0.000 0.000 0.000
Ta 0.000 0.000 0.500
CELL_PARAMETERS angstrom
3.710 0.000 0.000
0.000 3.710 0.000
0.000 0.000 4.069



! Ta2NiHOs, optimized geometry, DFT PBE; values from VASP
! - total magnetic moment (μB/f.u.) = 0.00
! - offset from the most stable computed form (meV/atom) = 0
! - E_tot (eV/atom) = -9.007
&SYSTEM
  ibrav = 0, nat = 5, ntyp = 4
/
ATOMIC_SPECIES
Ni 58.69 Ni.upf
Os 190.23 Os.upf
H 1.01 H.upf
Ta 180.95 Ta.upf
ATOMIC_POSITIONS crystal
Ni 0.000 0.000 0.500
Os 0.500 0.500 0.500
H 0.000 0.000 0.000
Ta 0.000 0.500 0.000
Ta 0.500 0.000 0.000
CELL_PARAMETERS angstrom
4.125 0.000 0.000
0.000 4.125 0.000
0.000 0.000 3.716



! TaNiHOs2, optimized geometry, DFT PBE; values from VASP
! - total magnetic moment (μB/f.u.) = 0.00
! - offset from the most stable computed form (meV/atom) = 103
! - E_tot (eV/atom) = -8.713
&SYSTEM
  ibrav = 0, nat = 5, ntyp = 4
/
ATOMIC_SPECIES
Ni 58.69 Ni.upf
Os 190.23 Os.upf
H 1.01 H.upf
Ta 180.95 Ta.upf
ATOMIC_POSITIONS crystal
Ni 0.500 0.500 0.500
Os 0.000 0.500 0.000
Os 0.500 0.000 0.000
H 0.000 0.000 0.000
Ta 0.000 0.000 0.500
CELL_PARAMETERS angstrom
-2.780 2.552 -0.976
-1.441 -0.187 3.616
2.352 2.980 1.091



! Ta2NiHOs, optimized geometry, DFT PBE; values from VASP
! - total magnetic moment (μB/f.u.) = 0.00
! - offset from the most stable computed form (meV/atom) = 84
! - E_tot (eV/atom) = -8.923
&SYSTEM
  ibrav = 0, nat = 5, ntyp = 4
/
ATOMIC_SPECIES
Ni 58.69 Ni.upf
Os 190.23 Os.upf
H 1.01 H.upf
Ta 180.95 Ta.upf
ATOMIC_POSITIONS crystal
Ni 0.500 0.500 0.500
Os 0.000 0.000 0.500
H 0.000 0.000 0.000
Ta 0.000 0.500 0.000
Ta 0.500 0.000 0.000
CELL_PARAMETERS angstrom
4.079 0.000 0.000
0.000 4.079 0.000
0.000 0.000 3.840



! TaNi2HOs, optimized geometry, DFT PBE; values from VASP
! - total magnetic moment (μB/f.u.) = 0.00
! - offset from the most stable computed form (meV/atom) = 0
! - E_tot (eV/atom) = -7.784
&SYSTEM
  ibrav = 0, nat = 5, ntyp = 4
/
ATOMIC_SPECIES
Ni 58.69 Ni.upf
Os 190.23 Os.upf
H 1.01 H.upf
Ta 180.95 Ta.upf
ATOMIC_POSITIONS crystal
Ni 0.000 0.500 0.000
Ni 0.500 0.000 0.000
Os 0.000 0.000 0.500
H 0.000 0.000 0.000
Ta 0.500 0.500 0.500
CELL_PARAMETERS angstrom
3.766 0.000 0.000
0.000 3.766 0.000
0.000 0.000 3.929